Record 1
Here is a geometry-optimized NaV2Pt structure from the Alexandria database. Energies are from GGA-PBE.

a = 9.7762 Å, b = 9.7762 Å, c = 9.7762 Å
α = 157.73°, β = 157.73°, γ = 31.70°
With the nearest neighbours (Å) after each atom.
Fractional coordinates of all 8 atoms:
Na 0.0000 0.0000 0.0000  4 Pt 2.67, 4 V 2.76
Na 0.7500 0.2500 0.5000  4 Pt 2.67, 4 V 2.76
V 0.1641 0.6250 0.0391  2 V 2.47, 2 Pt 2.66, 2 Na 2.76
V 0.3750 0.4141 0.5391  2 V 2.47, 2 Pt 2.66, 2 Na 2.76
V 0.5859 0.1250 0.9609  2 V 2.47, 2 Pt 2.66, 2 Na 2.76
V 0.8750 0.8359 0.4609  2 V 2.47, 2 Pt 2.66, 2 Na 2.76
Pt 0.2500 0.7500 0.5000  4 V 2.66, 4 Na 2.67
Pt 0.5000 0.5000 0.0000  4 V 2.66, 4 Na 2.67

Output
Formation energy from the elements (eV per atom): 0.68
Spin magnetization (Bohr magnetons per cell): 1.11

***

Record 2
Here is a geometry-optimized HfTi2PbBr structure from the Alexandria database. Energies are from GGA-PBE.

a = 5.0632 Å, b = 5.0632 Å, c = 5.6199 Å
α = 90.00°, β = 90.00°, γ = 90.00°
With the nearest neighbours (Å) after each atom.
Fractional coordinates of all 5 atoms:
Hf 0.0000 0.0000 0.0000  4 Ti 2.53, 2 Pb 2.81
Ti 0.0000 0.5000 0.0000  2 Hf 2.53
Ti 0.5000 0.0000 0.0000  2 Hf 2.53
Pb 0.0000 0.0000 0.5000  2 Hf 2.81
Br 0.5000 0.5000 0.5000  4 Pb 3.58, 8 Ti 3.78

Output
VASP energy (eV/atom): -5.253
Spin magnetization (Bohr magnetons per cell): 1.25

***

Record 3
Here is a geometry-optimized Rb2InCl6F structure from the Alexandria database. Energies are from GGA-PBE.

a = 7.2561 Å, b = 7.2561 Å, c = 7.2561 Å
α = 113.12°, β = 113.12°, γ = 102.40°
With the nearest neighbours (Å) after each atom.
Fractional coordinates of all 10 atoms:
Rb 0.2500 0.7500 0.5000  12 Cl 3.64-4.01
Rb 0.7500 0.2500 0.5000  12 Cl 3.64-4.01
In 0.0000 0.0000 0.0000  6 Cl 2.50-2.57
Cl 0.2206 0.2206 0.4413  1 In 2.50
Cl 0.2206 0.7794 0.0000  1 In 2.50
Cl 0.2828 0.2828 0.0000  1 F 1.98
Cl 0.7172 0.7172 0.0000  1 F 1.98
Cl 0.7794 0.2206 0.0000  1 In 2.50
Cl 0.7794 0.7794 0.5587  1 In 2.50
F 0.5000 0.5000 0.0000  2 Cl 1.98

Output
VASP energy (eV/atom): -2.967
Spin magnetization (Bohr magnetons per cell): 0.00

***

> Which of these has the lowest spin magnetization?

Rb2InCl6F

***

Please write out number 2 again, unchanged.
Here is a geometry-optimized HfTi2PbBr structure from the Alexandria database. Energies are from GGA-PBE.

a = 5.0632 Å, b = 5.0632 Å, c = 5.6199 Å
α = 90.00°, β = 90.00°, γ = 90.00°
With the nearest neighbours (Å) after each atom.
Fractional coordinates of all 5 atoms:
Hf 0.0000 0.0000 0.0000  4 Ti 2.53, 2 Pb 2.81
Ti 0.0000 0.5000 0.0000  2 Hf 2.53
Ti 0.5000 0.0000 0.0000  2 Hf 2.53
Pb 0.0000 0.0000 0.5000  2 Hf 2.81
Br 0.5000 0.5000 0.5000  4 Pb 3.58, 8 Ti 3.78

Output
VASP energy (eV/atom): -5.253
Spin magnetization (Bohr magnetons per cell): 1.25

***

> spin magnetization of number 1 (NaV2Pt)?

1.11 Bohr magnetons per cell